# 1
BaCo2TeBr: optimized geometry, GGA-PBE.

abc: 4.765 4.765 7.057
angles: 90.00 90.00 90.00
Space group P4/mmm (No. 123)
Inequivalent atoms, fractional coordinates:
1 Ba 0.000 0.000 0.000 x1
2 Co 0.000 0.500 0.500 x2
3 Te 0.000 0.000 0.500 x1
4 Br 0.500 0.500 0.000 x1

Summary:
As for the uncorrected formation energy: -0.084 eV per atom. The total moment is 3.000 μB/cell. The value obtained for the total energy is -4.274 eV/atom.

# 2
BaVCoBr2: optimized geometry, GGA-PBE.

abc: 5.270 5.270 4.681
angles: 90.00 90.00 90.00
Space group P4/mmm (No. 123)
Inequivalent atoms, fractional coordinates:
1 Ba 0.000 0.000 0.000 x1
2 V 0.500 0.500 0.500 x1
3 Co 0.500 0.500 0.000 x1
4 Br 0.000 0.500 0.500 x2

Summary:
As for the uncorrected formation energy: -0.267 eV per atom. The total moment is 1.848 μB/cell. The value obtained for the total energy is -4.566 eV/atom.

# 3
Ba3CrBr: optimized geometry, GGA-PBE.

abc: 6.291 6.291 6.291
angles: 90.00 90.00 90.00
Space group Pm-3m (No. 221)
Inequivalent atoms, fractional coordinates:
1 Ba 0.000 0.000 0.500 x3
2 Cr 0.500 0.500 0.500 x1
3 Br 0.000 0.000 0.000 x1

Summary:
As for the uncorrected formation energy: -0.015 eV per atom. The total moment is 3.681 μB/cell. The value obtained for the total energy is -3.428 eV/atom. The energy above the most stable polymorph in this dataset comes out at 0.000 eV/atom.

# 4
BaCrBr4: optimized geometry, GGA-PBE.

abc: 9.236 9.236 9.236
angles: 90.00 90.00 90.00
Space group F-43m (No. 216)
Inequivalent atoms, fractional coordinates:
1 Ba 0.000 0.000 0.000 x4
2 Cr 0.250 0.250 0.250 x4
3 Br 0.124 0.124 0.624 x16

Summary:
As for the uncorrected formation energy: -0.155 eV per atom. The total moment is 15.825 μB/cell. The value obtained for the total energy is -3.194 eV/atom.